InHSe2 (PBE, relaxed); VASP energy = -0.1199 Ha/atom; density of states at the Fermi level = 0.458 states/eV/atom
1.0
1.388 -10.403 0.000
1.388 10.403 0.000
0.000 0.000 6.204
Se In H
4 2 2
direct
0.761 0.239 0.750 Se
0.239 0.761 0.250 Se
0.929 0.071 0.250 Se
0.071 0.929 0.750 Se
0.065 0.935 0.250 In
0.935 0.065 0.750 In
0.688 0.312 0.750 H
0.312 0.688 0.250 H



InH2Se (PBE, relaxed); VASP energy = -0.1063 Ha/atom; density of states at the Fermi level = 0.475 states/eV/atom
1.0
-5.307 1.623 -1.442
-1.732 -5.461 0.228
-4.450 -1.460 3.334
In H Se
2 4 2
direct
0.000 0.000 0.000 In
0.750 0.250 0.500 In
0.375 0.125 0.250 H
0.875 0.625 0.750 H
0.375 0.625 0.750 H
0.375 0.625 0.250 H
0.500 0.500 0.000 Se
0.250 0.750 0.500 Se



In2SiHSe (PBE, relaxed); VASP energy = -0.1090 Ha/atom; density of states at the Fermi level = 0.379 states/eV/atom
1.0
-0.857 -5.300 0.115
1.605 -0.162 4.488
-4.984 0.845 1.813
Si H Se In
1 1 1 2
direct
0.000 0.000 0.000 Si
0.500 0.500 0.500 H
0.000 0.500 0.000 Se
0.500 0.000 0.000 In
0.000 0.000 0.500 In



InSi2H (PBE, relaxed); VASP energy = -0.1238 Ha/atom; density of states at the Fermi level = 0.336 states/eV/atom
1.0
-1.852 -0.369 4.103
-4.401 -0.926 0.416
-1.323 -4.041 1.525
In Si H
1 2 1
direct
0.500 0.500 0.500 In
0.250 0.250 0.250 Si
0.750 0.750 0.750 Si
0.000 0.000 0.000 H



InSiH3 (PBE, relaxed); VASP energy = -0.1011 Ha/atom; density of states at the Fermi level = 0.470 states/eV/atom
1.0
3.932 0.000 0.000
0.000 3.932 0.000
0.000 0.000 3.932
H In Si
3 1 1
direct
0.000 0.500 0.000 H
0.000 0.000 0.500 H
0.500 0.000 0.000 H
0.000 0.000 0.000 In
0.500 0.500 0.500 Si



InSiH3 (PBE, relaxed); VASP energy = -0.1166 Ha/atom; density of states at the Fermi level = 0.264 states/eV/atom
1.0
3.798 0.000 0.000
0.000 3.798 0.000
0.000 0.000 3.798
H In Si
3 1 1
direct
0.000 0.000 0.500 H
0.000 0.500 0.000 H
0.500 0.000 0.000 H
0.500 0.500 0.500 In
0.000 0.000 0.000 Si



InSi3H (PBE, relaxed); VASP energy = -0.1395 Ha/atom; density of states at the Fermi level = 0.287 states/eV/atom
1.0
-2.925 2.449 -1.788
-0.168 -2.611 -3.302
-3.028 -2.222 1.911
Si H In
3 1 1
direct
0.000 0.000 0.500 Si
0.000 0.500 0.000 Si
0.500 0.000 0.000 Si
0.000 0.000 0.000 H
0.500 0.500 0.500 In



In3SiH (PBE, relaxed); VASP energy = -0.1092 Ha/atom; density of states at the Fermi level = 0.528 states/eV/atom
1.0
-3.998 -0.093 -2.434
-1.921 -2.755 3.261
-1.497 3.784 2.314
In Si H
3 1 1
direct
0.000 0.500 0.000 In
0.000 0.000 0.500 In
0.500 0.000 0.000 In
0.500 0.500 0.500 Si
0.000 0.000 0.000 H



InSi3H (PBE, relaxed); VASP energy = -0.0985 Ha/atom; density of states at the Fermi level = 0.548 states/eV/atom
1.0
5.216 0.000 0.000
0.000 5.216 0.000
0.000 0.000 5.216
In Si H
1 3 1
direct
0.000 0.000 0.000 In
0.000 0.000 0.500 Si
0.500 0.000 0.000 Si
0.000 0.500 0.000 Si
0.500 0.500 0.500 H



InSi2H (PBE, relaxed); VASP energy = -0.1361 Ha/atom; density of states at the Fermi level = 0.188 states/eV/atom
1.0
-1.734 -4.104 0.691
2.306 -0.325 3.861
-4.870 0.521 5.586
In H Si
2 2 4
direct
0.000 0.000 0.000 In
0.750 0.250 0.500 In
0.250 0.750 0.500 H
0.500 0.500 0.000 H
0.375 0.522 0.750 Si
0.875 0.728 0.750 Si
0.272 0.625 0.250 Si
0.478 0.125 0.250 Si



Sm6In3H (PBE, relaxed); VASP energy = -0.1563 Ha/atom; density of states at the Fermi level = 1.065 states/eV/atom
1.0
-4.366 3.738 -2.857
-5.912 -2.460 5.814
2.042 8.312 5.593
H Sm In
2 12 6
direct
0.000 0.000 0.000 H
0.500 0.500 0.500 H
0.134 0.351 0.450 Sm
0.866 0.649 0.550 Sm
0.595 0.204 0.557 Sm
0.634 0.149 0.950 Sm
0.857 0.952 0.222 Sm
0.143 0.048 0.778 Sm
0.357 0.548 0.722 Sm
0.643 0.452 0.278 Sm
0.366 0.851 0.050 Sm
0.905 0.704 0.943 Sm
0.405 0.796 0.443 Sm
0.095 0.296 0.057 Sm
0.500 0.500 0.000 In
0.595 0.882 0.737 In
0.405 0.118 0.263 In
0.905 0.382 0.763 In
0.095 0.618 0.237 In
0.000 0.000 0.500 In



Sm2InH2 (PBE, relaxed); VASP energy = -0.1616 Ha/atom; density of states at the Fermi level = 0.417 states/eV/atom
1.0
3.692 0.000 -1.379
-0.515 3.655 -1.379
0.374 0.430 6.629
Sm H In
2 2 1
direct
0.652 0.652 0.303 Sm
0.348 0.348 0.697 Sm
0.750 0.250 0.500 H
0.250 0.750 0.500 H
0.000 0.000 0.000 In



Number 3 is which compound?
In2SiHSe



Repeat the fifth record exactly.
InSiH3 (PBE, relaxed); VASP energy = -0.1011 Ha/atom; density of states at the Fermi level = 0.470 states/eV/atom
1.0
3.932 0.000 0.000
0.000 3.932 0.000
0.000 0.000 3.932
H In Si
3 1 1
direct
0.000 0.500 0.000 H
0.000 0.000 0.500 H
0.500 0.000 0.000 H
0.000 0.000 0.000 In
0.500 0.500 0.500 Si



The highest density of states at the Fermi level belongs to which entry?
Sm6In3H



The highest VASP energy belongs to which entry?
number 9